Entry from Alexandria via LeMat-Bulk: an optimized crystal structure of NbHg2Cl6 (PBE).

Cell lengths 10.498, 9.812, 6.373 Å; angles 90.00, 106.14, 90.00 degrees
Space group C2/m (No. 12)
Asymmetric unit:
Nb 0.000 0.000 0.000
Hg 0.108 0.500 0.922
Cl 0.091 0.170 0.815
Cl 0.207 0.000 0.290

Values from the calculation:
D(E_F) in states/eV per atom: 0.291
Energy relative to the elements, uncorrected in meV per atom: -891.6